[1]
Here is a crystal of ZrTe2Pb relaxed with PBEsol from Alexandria. Energies are from SCAN.

Lattice parameters (Å, degrees): 3.6443 3.6443 9.7373 79.21 79.21 60.00
With the nearest neighbours (Å) after each atom.
Fractional coordinates of all 4 atoms:
Te 0.0054 0.0054 0.9839  3 Pb 3.17
Pb 0.7554 0.7554 0.7338  3 Zr 3.14, 3 Te 3.17
Te 0.2354 0.2354 0.2938  3 Zr 2.80
Zr 0.5039 0.5039 0.4884  3 Te 2.80

The total DFT energy (no corrections) is -45.43 eV/atom. As for the symmetry: No. 160. The density of states at the Fermi level is 0.828 states/eV/atom. The volume comes out at 27.34 Å³ per atom. As for the magnetization: 0.00 Bohr magnetons per cell.

[2]
Here is a crystal of Li2LaCdIr relaxed with PBEsol from Alexandria. Energies are from SCAN.

Lattice parameters (Å, degrees): 4.8566 5.3691 5.3691 90.00 90.00 90.00
With the nearest neighbours (Å) after each atom.
Fractional coordinates of all 5 atoms:
La 0.0000 0.0000 0.0000  2 Ir 2.43, 4 Li 2.68
Li 0.0000 0.5000 0.0000  2 La 2.68
Ir 0.5000 0.0000 0.0000  2 La 2.43
Cd 0.5000 0.5000 0.5000  8 Li 3.62, 4 Ir 3.80
Li 0.0000 0.0000 0.5000  2 La 2.68

The total DFT energy (no corrections) is -28.99 eV/atom. As for the symmetry: No. 123. The density of states at the Fermi level is 0.556 states/eV/atom. As for the formation energy from the elements: 0.891 eV per atom. The volume comes out at 28.00 Å³ per atom. As for the magnetization: 0.00 Bohr magnetons per cell.

[3]
Here is a crystal of ScNiHg2 relaxed with PBEsol from Alexandria. Energies are from SCAN.

Lattice parameters (Å, degrees): 3.2513 3.2513 8.4897 78.96 78.96 60.00
With the nearest neighbours (Å) after each atom.
Fractional coordinates of all 4 atoms:
Hg 0.2412 0.2412 0.2763  3 Ni 2.64
Hg 0.7588 0.7588 0.7237  3 Ni 2.64
Ni 0.5000 0.5000 0.5000  6 Hg 2.64
Sc 0.0000 0.0000 0.0000  6 Hg 2.96, 6 Sc 3.25

The total DFT energy (no corrections) is -41.70 eV/atom. As for the symmetry: No. 166. The density of states at the Fermi level is 0.782 states/eV/atom. As for the formation energy from the elements: -0.017 eV per atom. The volume comes out at 18.95 Å³ per atom. As for the magnetization: 0.00 Bohr magnetons per cell.

[4]
Here is a crystal of Si3Ru2 relaxed with PBEsol from Alexandria. Energies are from SCAN.

Lattice parameters (Å, degrees): 5.5145 8.9327 11.0170 90.00 90.00 90.00
With the nearest neighbours (Å) after each atom.
Fractional coordinates of all 40 atoms:
Si 0.8938 0.8929 0.6304  4 Ru 2.31-2.45
Si 0.0557 0.7074 0.4266  5 Ru 2.36-2.59, 1 Si 2.63
Si 0.1062 0.6071 0.1304  4 Ru 2.31-2.45
Si 0.5865 0.9369 0.8198  4 Ru 2.35-2.51
Si 0.4135 0.0631 0.1802  4 Ru 2.35-2.51
Si 0.1062 0.1071 0.3696  4 Ru 2.31-2.45
Si 0.9135 0.4369 0.3198  4 Ru 2.35-2.51
Ru 0.2500 0.4591 0.5000  6 Si 2.37-2.59
Ru 0.2354 0.8127 0.7539  7 Si 2.35-2.51
Ru 0.7646 0.6873 0.2539  7 Si 2.35-2.51
Si 0.3938 0.6071 0.8696  4 Ru 2.31-2.45
Si 0.5557 0.7926 0.0734  5 Ru 2.36-2.59, 1 Si 2.63
Si 0.3938 0.1071 0.6304  4 Ru 2.31-2.45
Si 0.9443 0.7926 0.9266  5 Ru 2.36-2.59, 1 Si 2.63
Ru 0.2646 0.8127 0.2461  7 Si 2.35-2.51
Si 0.4135 0.5631 0.3198  4 Ru 2.35-2.51
Si 0.6062 0.8929 0.3696  4 Ru 2.31-2.45
Ru 0.2646 0.3127 0.2539  7 Si 2.35-2.51
Si 0.5557 0.2926 0.4266  5 Ru 2.36-2.59, 1 Si 2.63
Si 0.5865 0.4369 0.6802  4 Ru 2.35-2.51
Ru 0.2500 0.9250 0.5000  6 Si 2.31-2.45
Si 0.8938 0.3929 0.8696  4 Ru 2.31-2.45
Si 0.4443 0.7074 0.5734  5 Ru 2.36-2.59, 1 Si 2.63
Ru 0.7500 0.0750 0.5000  6 Si 2.31-2.45
Si 0.0865 0.5631 0.6802  4 Ru 2.35-2.51
Ru 0.7500 0.5409 0.5000  6 Si 2.37-2.59
Si 0.0557 0.2074 0.0734  5 Ru 2.36-2.59, 1 Si 2.63
Ru 0.7354 0.6873 0.7461  7 Si 2.35-2.51
Ru 0.7354 0.1873 0.7539  7 Si 2.35-2.51
Si 0.4443 0.2074 0.9266  5 Ru 2.36-2.59, 1 Si 2.63
Si 0.6062 0.3929 0.1304  4 Ru 2.31-2.45
Ru 0.2500 0.4250 0.0000  6 Si 2.31-2.45
Si 0.9135 0.9369 0.1802  4 Ru 2.35-2.51
Ru 0.2500 0.9591 0.0000  6 Si 2.37-2.59
Ru 0.7646 0.1873 0.2461  7 Si 2.35-2.51
Si 0.9443 0.2926 0.5734  5 Ru 2.36-2.59, 1 Si 2.63
Si 0.0865 0.0631 0.8198  4 Ru 2.35-2.51
Ru 0.7500 0.5750 0.0000  6 Si 2.31-2.45
Ru 0.2354 0.3127 0.7461  7 Si 2.35-2.51
Ru 0.7500 0.0409 0.0000  6 Si 2.37-2.59

The total DFT energy (no corrections) is -20.62 eV/atom. As for the symmetry: No. 60. The volume comes out at 13.57 Å³ per atom. As for the magnetization: 0.00 Bohr magnetons per cell.

[5]
Here is a crystal of KPrTe4 relaxed with PBEsol from Alexandria. Energies are from SCAN.

Lattice parameters (Å, degrees): 6.8422 6.8422 8.8194 90.00 90.00 90.00
With the nearest neighbours (Å) after each atom.
Fractional coordinates of all 12 atoms:
Te 0.8549 0.6451 0.2829  1 Te 2.81
Te 0.6451 0.1451 0.2829  1 Te 2.81
K 0.5000 0.5000 0.0000  8 Te 3.62
Pr 0.0000 0.0000 0.5000  8 Te 3.25
Te 0.3549 0.8549 0.2829  1 Te 2.81
Te 0.1451 0.6451 0.7171  1 Te 2.81
Pr 0.5000 0.5000 0.5000  8 Te 3.25
Te 0.8549 0.3549 0.7171  1 Te 2.81
K 0.0000 0.0000 0.0000  8 Te 3.62
Te 0.1451 0.3549 0.2829  1 Te 2.81
Te 0.3549 0.1451 0.7171  1 Te 2.81
Te 0.6451 0.8549 0.7171  1 Te 2.81

The total DFT energy (no corrections) is -34.54 eV/atom. As for the symmetry: No. 125. The volume comes out at 34.41 Å³ per atom. As for the magnetization: 0.00 Bohr magnetons per cell.

[6]
Here is a crystal of ScAs2Pt relaxed with PBEsol from Alexandria. Energies are from SCAN.

Lattice parameters (Å, degrees): 3.5951 3.5951 5.4385 90.00 90.00 90.00
With the nearest neighbours (Å) after each atom.
Fractional coordinates of all 4 atoms:
Pt 0.0000 0.0000 0.4432  6 As 2.65-2.73
Sc 0.5000 0.5000 0.8029  6 As 2.66-2.75
As 0.0000 0.0000 0.9452  4 Sc 2.66, 2 Pt 2.71-2.73
As 0.5000 0.5000 0.3087  4 Pt 2.65, 2 Sc 2.69-2.75

The total DFT energy (no corrections) is -32.02 eV/atom. As for the symmetry: No. 99. The density of states at the Fermi level is 0.293 states/eV/atom. As for the formation energy from the elements: -0.812 eV per atom. The volume comes out at 17.57 Å³ per atom. As for the magnetization: 0.00 Bohr magnetons per cell.

[7]
Here is a crystal of Pr5Bi3 relaxed with PBEsol from Alexandria. Energies are from SCAN.

Lattice parameters (Å, degrees): 6.5235 9.4643 9.4643 120.00 90.00 90.00
With the nearest neighbours (Å) after each atom.
Fractional coordinates of all 16 atoms:
Bi 0.2500 0.0000 0.6126  9 Pr 3.22-3.52
Pr 0.5000 0.3333 0.6667  2 Pr 3.26, 6 Bi 3.36
Pr 0.0000 0.3333 0.6667  2 Pr 3.26, 6 Bi 3.36
Pr 0.7500 0.2483 0.2483  5 Bi 3.22-3.52
Bi 0.7500 0.0000 0.3874  9 Pr 3.22-3.52
Pr 0.7500 0.0000 0.7517  5 Bi 3.22-3.52
Pr 0.2500 0.7517 0.7517  5 Bi 3.22-3.52
Pr 0.5000 0.6667 0.3333  2 Pr 3.26, 6 Bi 3.36
Bi 0.7500 0.3874 0.0000  9 Pr 3.22-3.52
Bi 0.2500 0.3874 0.3874  9 Pr 3.22-3.52
Pr 0.2500 0.0000 0.2483  5 Bi 3.22-3.52
Pr 0.2500 0.2483 0.0000  5 Bi 3.22-3.52
Bi 0.7500 0.6126 0.6126  9 Pr 3.22-3.52
Bi 0.2500 0.6126 0.0000  9 Pr 3.22-3.52
Pr 0.7500 0.7517 0.0000  5 Bi 3.22-3.52
Pr 0.0000 0.6667 0.3333  2 Pr 3.26, 6 Bi 3.36

The total DFT energy (no corrections) is -57.48 eV/atom. As for the symmetry: No. 193. The density of states at the Fermi level is 0.816 states/eV/atom. As for the formation energy from the elements: -0.930 eV per atom. The volume comes out at 31.63 Å³ per atom. As for the magnetization: 0.00 Bohr magnetons per cell.

[8]
Here is a crystal of LiAlFe relaxed with PBEsol from Alexandria. Energies are from SCAN.

Lattice parameters (Å, degrees): 2.6005 2.6005 6.3062 101.90 101.90 90.00
With the nearest neighbours (Å) after each atom.
Fractional coordinates of all 3 atoms:
Al 0.9870 0.9870 0.9740  4 Fe 2.54, 4 Al 2.60
Fe 0.3415 0.3415 0.6831  4 Al 2.54, 4 Fe 2.60, 4 Li 2.76
Li 0.6715 0.6715 0.3429  4 Li 2.60, 4 Fe 2.76, 4 Al 2.89

The total DFT energy (no corrections) is -9.44 eV/atom. As for the symmetry: No. 107. The density of states at the Fermi level is 0.411 states/eV/atom. As for the formation energy from the elements: -0.018 eV per atom. The volume comes out at 13.60 Å³ per atom. As for the magnetization: 2.48 Bohr magnetons per cell.

Q: What is the formula in the third record?
A: ScNiHg2

Copy entry 5 word for word.
Here is a crystal of KPrTe4 relaxed with PBEsol from Alexandria. Energies are from SCAN.

Lattice parameters (Å, degrees): 6.8422 6.8422 8.8194 90.00 90.00 90.00
With the nearest neighbours (Å) after each atom.
Fractional coordinates of all 12 atoms:
Te 0.8549 0.6451 0.2829  1 Te 2.81
Te 0.6451 0.1451 0.2829  1 Te 2.81
K 0.5000 0.5000 0.0000  8 Te 3.62
Pr 0.0000 0.0000 0.5000  8 Te 3.25
Te 0.3549 0.8549 0.2829  1 Te 2.81
Te 0.1451 0.6451 0.7171  1 Te 2.81
Pr 0.5000 0.5000 0.5000  8 Te 3.25
Te 0.8549 0.3549 0.7171  1 Te 2.81
K 0.0000 0.0000 0.0000  8 Te 3.62
Te 0.1451 0.3549 0.2829  1 Te 2.81
Te 0.3549 0.1451 0.7171  1 Te 2.81
Te 0.6451 0.8549 0.7171  1 Te 2.81

The total DFT energy (no corrections) is -34.54 eV/atom. As for the symmetry: No. 125. The volume comes out at 34.41 Å³ per atom. As for the magnetization: 0.00 Bohr magnetons per cell.